12
Lattice="-4.1929 -1.6838 3.2965 -2.1959 -6.9545 -6.3454 4.3549 -4.3853 3.2991" Properties=species:S:1:pos:R:3 comment="Sm2DyEr2Tm (PBE, relaxed)" m_tot_mub_per_atom=0.000 formation_enthalpy_0k_mev_per_atom=69 pbc="T T T"
Sm -1.3794 -3.0936 1.4101
Sm -0.3705 -5.7394 -3.4029
Sm -0.6545 -9.9300 -1.1599
Sm 2.5294 -5.6003 0.3567
Dy -3.1944 -4.3192 -1.5245
Dy 2.1774 -2.1926 1.6496
Er -2.8379 -7.7348 -2.8157
Er 0.8040 -5.2888 3.0659
Er 1.8026 -7.9243 -1.7549
Er 0.3563 -3.4155 -1.2914
Tm 0.0000 0.0000 0.0000
Tm -1.0170 -6.5118 0.1251


18
Lattice="-4.9467 -0.8755 2.4929 0.2314 -6.5507 -8.1492 4.4091 -7.4663 6.1269" Properties=species:S:1:pos:R:3 comment="Sm5Dy2ErTm (PBE, relaxed)" m_tot_mub_per_atom=0.000 formation_enthalpy_0k_mev_per_atom=146 pbc="T T T"
Sm -1.6310 -5.5350 -5.1801
Sm 0.1196 -9.5780 3.1817
Sm 1.1132 -12.2866 -2.1060
Sm 1.7793 -9.4551 0.2102
Sm -2.3560 -11.0601 -2.2511
Sm -0.6922 -5.9418 2.8477
Sm 0.1211 -6.2404 -1.9513
Sm -1.4821 -2.4994 2.4893
Sm -2.4622 -4.7993 -0.2631
Sm 0.0046 -0.3688 -0.1205
Dy -0.6225 -11.8915 0.8967
Dy 2.7519 -7.0734 2.9766
Dy 0.8633 -3.9270 0.3339
Dy -3.1645 -7.6388 -2.6539
Er 1.3576 -8.8924 5.8791
Er 0.2025 -9.1603 -2.8152
Tm -1.5724 -8.4662 0.2147
Tm -0.8420 -2.8561 -2.6737


12
Lattice="6.0807 0.0028 0.0057 -3.0365 5.2683 0.0057 -1.0224 -1.7702 11.4433" Properties=species:S:1:pos:R:3 comment="SmDy2Er3Tm6 (PBE, relaxed)" m_tot_mub_per_atom=0.000 formation_enthalpy_0k_mev_per_atom=24 pbc="T T T"
Sm 0.0000 0.0000 0.0000
Dy 0.0024 3.5132 0.0057
Dy 3.0418 1.7578 0.0057
Er -2.0271 3.5050 5.7273
Er 4.0489 -0.0042 5.7273
Er 1.0109 1.7504 5.7273
Tm 3.0342 1.7417 8.5717
Tm 2.0290 3.5132 2.8873
Tm -1.0124 1.7590 2.8829
Tm -0.0077 3.4986 8.5717
Tm -0.0071 -0.0124 8.5673
Tm 2.0296 0.0022 2.8829


20
Lattice="-4.1369 5.3571 -6.6034 4.6864 -4.5163 -5.7817 -7.5139 -3.4464 2.7295" Properties=species:S:1:pos:R:3 comment="SmDy2Er6Tm (PBE, relaxed)" m_tot_mub_per_atom=0.000 formation_enthalpy_0k_mev_per_atom=121 pbc="T T T"
Sm 3.3612 -3.1515 -7.2295
Sm -10.3256 0.5459 -2.4261
Dy -3.3508 -3.5844 -5.7363
Dy -0.2533 -1.8130 -1.5188
Dy -3.6136 0.9788 -3.9193
Dy -6.7111 -0.7926 -8.1368
Er -5.2830 -2.8444 0.9431
Er -7.2302 -1.7717 -1.9830
Er -1.6814 0.2388 -10.5987
Er 0.2658 -0.8338 -7.6726
Er 0.0517 -4.2311 -6.5830
Er 1.7645 -1.6416 -4.4534
Er -7.0161 1.6256 -3.0726
Er -8.7289 -0.9640 -5.2022
Er -0.8713 -4.2678 -3.5349
Er -1.3895 -1.2475 -4.6573
Er -6.0931 1.6622 -6.1207
Er -5.5749 -1.3581 -4.9983
Tm -3.5524 -2.5452 -2.4065
Tm -3.4120 -0.0604 -7.2491


9
Lattice="5.0400 0.0000 0.0000 -2.5200 7.5714 0.0329 0.0000 -2.5568 7.5496" Properties=species:S:1:pos:R:3 comment="Sm4Dy2Er2Tm (PBE, relaxed)" m_tot_mub_per_atom=0.000 formation_enthalpy_0k_mev_per_atom=21 pbc="T T T"
Sm 2.5200 2.4946 5.0612
Sm 0.0000 2.5201 2.5213
Sm 2.5200 -0.0206 2.5051
Sm 0.0000 5.0352 5.0774
Dy 2.5200 5.0390 2.5215
Dy 0.0000 -0.0244 5.0609
Er 0.0000 5.0466 0.0233
Er 2.5200 -0.0320 7.5592
Tm 0.0000 0.0000 0.0000


8
Lattice="-3.0999 -0.3335 -3.9176 -0.6864 -4.8602 0.9569 -8.3695 -2.6102 6.8446" Properties=species:S:1:pos:R:3 comment="Sm2DyErTm4 (PBE, relaxed)" m_tot_mub_per_atom=0.000 formation_enthalpy_0k_mev_per_atom=24 pbc="T T T"
Sm -8.3694 -2.6102 6.8446
Sm -5.7347 -1.4719 1.4635
Dy -1.8932 -2.5969 -1.4804
Er -4.5280 -3.7352 3.9008
Tm -6.7879 -5.6044 5.8481
Tm -5.3679 -2.1996 -1.9642
Tm -4.1591 -4.4635 0.4714
Tm -7.9967 -3.3404 3.4125


20
Lattice="9.0248 -1.9792 -2.0539 0.8396 8.4655 -1.9832 0.8396 -2.2955 8.3862" Properties=species:S:1:pos:R:3 comment="SmDy6ErTm2 (PBE, relaxed)" m_tot_mub_per_atom=0.000 formation_enthalpy_0k_mev_per_atom=121 pbc="T T T"
Sm 3.0958 7.6896 -2.2258
Sm 7.6082 -3.4989 6.5749
Dy 1.2408 -0.8031 5.9562
Dy 4.9509 -0.8015 5.9578
Dy 9.4633 4.9939 -1.6071
Dy 5.7532 4.9922 -1.6088
Dy 4.0508 6.7010 1.0487
Dy 2.1408 4.3807 -1.3593
Dy 6.6533 -2.5103 3.3004
Dy 8.5632 -0.1899 5.7083
Dy 2.0765 4.6344 2.4721
Dy 4.1152 2.8817 0.6532
Dy 8.6276 -0.4436 1.8770
Dy 6.5889 1.3091 3.6959
Er 3.0958 1.6180 3.6248
Er 7.6082 2.5728 0.7243
Tm 5.3499 4.2826 3.3130
Tm 0.8417 2.0284 0.9736
Tm 5.3541 -0.0918 1.0361
Tm 9.8623 2.1624 3.3754


12
Lattice="6.1232 0.0014 -0.0024 -3.0588 5.3044 -0.0024 -1.0142 -1.7560 11.4786" Properties=species:S:1:pos:R:3 comment="Sm3Dy2ErTm6 (PBE, relaxed)" m_tot_mub_per_atom=0.000 formation_enthalpy_0k_mev_per_atom=22 pbc="T T T"
Sm -2.0359 3.5427 5.7369
Sm 4.0860 0.0071 5.7369
Sm 1.0251 1.7749 5.7369
Dy 0.0026 3.5363 -0.0024
Dy 3.0617 1.7695 -0.0024
Er 0.0000 0.0000 0.0000
Tm 3.0680 1.7799 8.6342
Tm 2.0447 3.5404 2.8384
Tm -1.0178 1.7699 2.8396
Tm 0.0084 3.5469 8.6342
Tm 0.0055 0.0095 8.6354
Tm 2.0417 0.0029 2.8396


12
Lattice="-1.8883 5.4966 -1.9591 0.5944 -4.6311 -3.9770 -10.5100 -3.3553 3.9089" Properties=species:S:1:pos:R:3 comment="Sm3Dy2Er6Tm (PBE, relaxed)" m_tot_mub_per_atom=0.000 formation_enthalpy_0k_mev_per_atom=20 pbc="T T T"
Sm -5.0742 -4.6214 -1.6864
Sm -6.7297 2.1317 -0.3408
Sm -5.9020 -1.2449 -1.0136
Dy -0.2334 -1.2544 -3.3042
Dy -1.0606 2.1200 -2.6319
Er -9.2965 -0.1891 -1.1789
Er -3.5695 -0.1812 -3.4825
Er -2.5074 -2.3007 -0.8483
Er -8.4696 -3.5624 -1.8510
Er -8.2344 -2.3086 1.4553
Er -3.3344 1.0727 -0.1762
Tm 0.0000 0.0000 0.0000


12
Lattice="-2.4055 0.1437 -5.7123 -0.2157 -5.2304 3.3217 -9.3654 4.8996 5.1848" Properties=species:S:1:pos:R:3 comment="Sm6Dy3Er2Tm (PBE, relaxed)" m_tot_mub_per_atom=0.002 formation_enthalpy_0k_mev_per_atom=15 pbc="T T T"
Sm -9.3660 0.7603 0.5967
Sm -4.2976 -2.5962 -0.5027
Sm -2.6206 -0.9474 2.1975
Sm -8.6364 -1.0301 3.6065
Sm -7.6890 2.4091 3.2969
Sm -3.3502 0.8430 -0.8123
Dy -5.2634 -1.8849 4.4084
Dy -6.7232 1.6978 -1.6141
Dy -5.9933 -0.0935 1.3971
Er -0.9457 -3.4389 0.3102
Er -1.6755 -1.6478 -2.7008
Tm 0.0000 0.0000 0.0000


20
Lattice="9.0445 -2.1100 -2.1897 0.7662 8.4087 -1.9986 0.7662 -2.3089 8.3289" Properties=species:S:1:pos:R:3 comment="Sm2DyErTm6 (PBE, relaxed)" m_tot_mub_per_atom=0.000 formation_enthalpy_0k_mev_per_atom=119 pbc="T T T"
Sm 5.2831 4.1917 3.2282
Sm 0.7715 1.9743 0.9269
Sm 5.2937 -0.2018 0.9124
Sm 9.8054 2.0156 3.2137
Dy 3.0273 7.6701 -2.3426
Dy 7.5496 -3.6803 6.4832
Er 3.0273 1.5289 3.5751
Er 7.5496 2.4610 0.5655
Tm 1.1874 -0.7836 5.8335
Tm 4.8673 -0.8137 5.8023
Tm 9.3895 4.7735 -1.6929
Tm 5.7096 4.8036 -1.6617
Tm 3.9159 6.5788 0.9019
Tm 2.1388 4.3874 -1.3722
Tm 6.6610 -2.5889 3.2387
Tm 8.4381 -0.3975 5.5128
Tm 2.0007 4.5618 2.4598
Tm 4.0539 2.7558 0.5856
Tm 8.5762 -0.5719 1.6808
Tm 6.5229 1.2341 3.5550


12
Lattice="5.0011 0.0000 0.0000 -2.5006 7.5084 0.0000 0.0000 0.0000 10.0253" Properties=species:S:1:pos:R:3 comment="SmDy3ErTm (PBE, relaxed)" m_tot_mub_per_atom=0.000 formation_enthalpy_0k_mev_per_atom=20 pbc="T T T"
Sm 0.0000 7.5025 7.5190
Sm 2.5006 0.0060 2.5063
Dy 2.5006 2.5032 5.0144
Dy 0.0000 5.0052 5.0109
Dy 0.0000 5.0052 0.0018
Dy 2.5006 2.5032 10.0235
Dy 0.0000 2.5176 7.5190
Dy 2.5006 4.9908 2.5063
Er 0.0000 0.0000 5.0126
Er 0.0000 0.0000 0.0000
Tm 2.5006 4.9966 7.5190
Tm 0.0000 2.5118 2.5063


8
Lattice="4.9739 0.0000 0.0000 0.0000 4.8699 1.0026 0.0001 2.8614 10.7277" Properties=species:S:1:pos:R:3 comment="SmDyEr2Tm4 (PBE, relaxed)" m_tot_mub_per_atom=0.000 formation_enthalpy_0k_mev_per_atom=25 pbc="T T T"
Sm 2.4870 2.4350 0.5013
Dy 0.0001 3.8657 5.8652
Er 0.0001 2.8614 10.7277
Er 2.4870 1.4307 5.3639
Tm 0.0001 5.8024 8.7855
Tm 4.9739 1.9289 2.9448
Tm 2.4870 4.3631 3.4481
Tm 2.4870 3.3682 8.2823


12
Lattice="-1.7553 4.7252 -2.4622 -2.1179 -3.6671 -5.5276 -8.7387 -1.1159 4.0885" Properties=species:S:1:pos:R:3 comment="Sm2Dy2ErTm (PBE, relaxed)" m_tot_mub_per_atom=0.000 formation_enthalpy_0k_mev_per_atom=68 pbc="T T T"
Sm -0.8944 2.3346 -1.2728
Sm -2.1008 -1.1437 -0.6971
Sm -10.6908 -0.6147 0.0513
Sm -8.7885 -3.6960 -0.8274
Dy -7.8686 -1.8801 2.0016
Dy -4.3102 1.0496 -1.3037
Dy -3.0206 -2.9593 -3.5258
Dy -8.3335 -1.1625 -2.6805
Er -7.1763 0.6837 0.0374
Er -5.4673 -0.7964 -4.0214
Tm -4.3855 -0.5858 2.0024
Tm -5.4443 -2.4193 -0.7615


20
Lattice="-5.7504 -1.6760 -7.2430 3.0080 -8.1429 0.1913 -6.5005 2.0296 5.3865" Properties=species:S:1:pos:R:3 comment="SmDyEr2Tm6 (PBE, relaxed)" m_tot_mub_per_atom=0.000 formation_enthalpy_0k_mev_per_atom=124 pbc="T T T"
Sm 1.3238 -8.2981 -1.4848
Sm -10.5668 0.5089 -0.1804
Dy -4.0429 -2.5566 1.4475
Dy -5.2001 -5.2326 -3.1127
Er -4.7178 -5.8863 0.6161
Er -0.6325 -2.1535 0.7842
Er -4.5252 -1.9029 -2.2813
Er -8.6106 -5.6358 -2.4495
Tm -4.8401 0.4137 3.6531
Tm -7.4863 -0.9903 1.5589
Tm -4.4029 -8.2029 -5.3183
Tm -1.7567 -6.7990 -3.2241
Tm -1.6878 -7.6342 0.2169
Tm 0.5274 -4.8881 -1.1058
Tm -7.5552 -0.1551 -1.8821
Tm -9.7704 -2.9012 -0.5594
Tm -1.7395 -4.9755 1.9324
Tm -2.5591 -4.1895 -1.1067
Tm -7.5035 -2.8138 -3.5976
Tm -6.6839 -3.5998 -0.5586


20
Lattice="8.9850 -1.9352 -2.0082 0.8292 8.4303 -1.9654 0.8292 -2.2765 8.3517" Properties=species:S:1:pos:R:3 comment="SmDyEr6Tm2 (PBE, relaxed)" m_tot_mub_per_atom=0.000 formation_enthalpy_0k_mev_per_atom=124 pbc="T T T"
Sm 3.0754 7.6568 -2.1883
Sm 7.5680 -3.4381 6.5664
Dy 3.0754 1.6255 3.6235
Dy 7.5680 2.5932 0.7546
Er 1.2380 -0.7895 5.9327
Er 4.9129 -0.7716 5.9512
Er 9.4054 5.0082 -1.5546
Er 5.7305 4.9903 -1.5732
Er 4.0296 6.6706 1.0594
Er 2.1212 4.3748 -1.3231
Er 6.6138 -2.4519 3.3186
Er 8.5222 -0.1561 5.7012
Er 2.0499 4.6313 2.4654
Er 4.1010 2.8943 0.6627
Er 8.5935 -0.4126 1.9127
Er 6.5424 1.3244 3.7154
Tm 5.3133 4.2990 3.3264
Tm 0.8376 2.0215 0.9629
Tm 5.3301 -0.0803 1.0517
Tm 9.8059 2.1972 3.4152


12
Lattice="-3.2319 0.4995 5.1696 1.6625 -5.5216 -2.0414 10.2645 2.3758 4.9832" Properties=species:S:1:pos:R:3 comment="Sm3DyEr2Tm6 (PBE, relaxed)" m_tot_mub_per_atom=0.000 formation_enthalpy_0k_mev_per_atom=23 pbc="T T T"
Sm 5.9785 -3.3295 1.6529
Sm 2.7167 0.6832 6.4585
Sm 4.3476 -1.3231 4.0557
Dy 0.0000 0.0000 0.0000
Er 0.0308 -3.5143 0.3626
Er -1.6002 -1.5078 2.7656
Tm 5.7333 -0.9776 7.3021
Tm 1.3623 -3.1748 3.5756
Tm 2.9618 -1.6686 0.8093
Tm 7.3653 -2.9853 4.8976
Tm 7.3329 0.5285 4.5358
Tm 1.3298 0.3390 3.2138


8
Lattice="4.9777 0.0000 0.0000 0.0000 4.8714 1.0222 0.0001 2.8252 10.7542" Properties=species:S:1:pos:R:3 comment="SmDy2ErTm4 (PBE, relaxed)" m_tot_mub_per_atom=0.000 formation_enthalpy_0k_mev_per_atom=24 pbc="T T T"
Sm 2.4889 5.2609 11.2652
Dy 0.0001 2.8252 10.7541
Dy 2.4889 1.4126 5.3771
Er 0.0000 3.8483 5.8882
Tm 0.0001 5.7765 8.8148
Tm 4.9777 1.9201 2.9615
Tm 2.4889 4.3557 3.4731
Tm 2.4889 3.3409 8.3032


18
Lattice="-3.7143 4.2253 6.4742 4.8660 -4.3038 5.6004 4.7918 5.4880 -6.5139" Properties=species:S:1:pos:R:3 comment="Sm2DyErTm5 (PBE, relaxed)" m_tot_mub_per_atom=0.000 formation_enthalpy_0k_mev_per_atom=283 pbc="T T T"
Sm 1.4322 -1.1571 2.9021
Sm -1.7228 2.1035 4.6455
Sm 2.8745 -2.1820 7.4292
Sm -0.2805 1.0786 9.1725
Dy 2.6838 2.7244 -0.2383
Dy 3.2597 2.6851 5.7991
Er 5.1168 0.5725 2.5619
Er 0.8267 4.8370 2.9988
Tm -0.0330 3.6040 6.5922
Tm 1.7758 6.0639 0.3431
Tm 5.9765 1.8055 -1.0314
Tm 3.2551 4.2855 -3.3289
Tm 4.4973 3.5839 2.6406
Tm 2.6884 1.1240 8.8897
Tm 1.4463 1.8256 2.9202
Tm 4.1677 -0.6544 5.2176
Tm 0.5758 -0.0392 6.0373
Tm 0.0000 0.0000 0.0000